No. 1
A plane-wave DFT calculation with GGA-PBE was carried out for a relaxed FeCoIrBr2 crystal.

Results
Formation energy (no corrections) ... 1.3147 eV/atom
Volume ... 121.0 Å³ per cell

```
data_FeCoIrBr2
_chemical_formula_sum 'Fe1 Co1 Ir1 Br2'
_cell_length_a 5.0368
_cell_length_b 5.0368
_cell_length_c 4.7687
_cell_angle_alpha 90.00
_cell_angle_beta 90.00
_cell_angle_gamma 90.00
_symmetry_space_group_name_H-M 'P 4/m m m'
_symmetry_Int_Tables_number 123
_symmetry_space_group_name_Hall '-P 4 2'
loop_
_atom_site_label
_atom_site_fract_x
_atom_site_fract_y
_atom_site_fract_z
_atom_site_occupancy
Fe1 0.0000 0.0000 0.0000 1
Co1 0.5000 0.5000 0.0000 1
Ir1 0.0000 0.0000 0.5000 1
Br1 0.0000 0.5000 0.5000 1
```

---

No. 2
A plane-wave DFT calculation with GGA-PBE was carried out for a relaxed KFeCoBr6 crystal.

Results
Formation energy (no corrections) ... -0.5860 eV/atom
Volume ... 274.2 Å³ per cell

```
data_KFeCoBr6
_chemical_formula_sum 'K1 Fe1 Co1 Br6'
_cell_length_a 6.5876
_cell_length_b 6.5876
_cell_length_c 7.2970
_cell_angle_alpha 90.00
_cell_angle_beta 90.00
_cell_angle_gamma 120.00
_symmetry_space_group_name_H-M 'P 3 1 2'
_symmetry_Int_Tables_number 149
loop_
_symmetry_equiv_pos_as_xyz
'x,y,z'
'-y,x-y,z'
'-x+y,-x,z'
'-y,-x,-z'
'-x+y,y,-z'
'x,x-y,-z'
loop_
_atom_site_label
_atom_site_fract_x
_atom_site_fract_y
_atom_site_fract_z
_atom_site_occupancy
K1 0.0000 0.0000 0.0000 1
Fe1 0.6667 0.3333 0.5000 1
Co1 0.3333 0.6667 0.5000 1
Br1 0.3852 0.0139 0.6934 1
```